HfGeAu PBE-GGA optimized geometry; space group = I4mm; crystal system = tetragonal; ΔE_f = -0.26 eV/atom; N(E_F) = 2.19 states/eV/f.u.; M_tot = 0.00 μB per cell
1.0
3.161 0.000 0.000
0.000 3.161 0.000
-1.581 -1.581 5.685
Hf Ge Au
1 1 1
Direct
0.617 0.617 0.234
0.282 0.282 0.564
0.951 0.951 0.901

=====

NiTeAs2 PBE-GGA optimized geometry; space group = Imm2; crystal system = orthorhombic; VASP energy = -17.788 eV for the cell shown; N(E_F) = 2.95 states/eV/f.u.; M_tot = 0.00 μB per cell
1.0
-4.536 4.492 -0.091
-4.520 1.234 -4.337
2.876 -4.253 3.795
As Ni Te
2 1 1
Direct
0.012 0.012 0.000
0.657 0.157 0.500
0.502 0.502 0.000
0.328 0.828 0.500

=====

La6CePr2Ho PBE-GGA optimized geometry; space group = C2/m; crystal system = monoclinic; ΔE_f = 0.20 eV/atom; N(E_F) = 22.25 states/eV/f.u.; M_tot = 0.86 μB per cell
1.0
-8.851 -4.151 -2.195
2.986 -6.329 -0.075
0.134 3.865 5.685
La Ce Pr Ho
6 1 2 1
Direct
0.419 0.649 0.298
0.181 0.091 0.629
0.819 0.462 0.371
0.181 0.538 0.629
0.819 0.909 0.371
0.581 0.351 0.702
0.000 0.500 0.000
0.199 0.063 0.125
0.801 0.937 0.875
0.500 0.000 0.000

=====

AcPmNd2As4 PBE-GGA optimized geometry; space group = P2/m; crystal system = monoclinic; ΔE_f = -1.49 eV/atom; N(E_F) = 0.71 states/eV/f.u.; M_tot = 0.00 μB per cell
1.0
4.338 0.000 0.000
0.000 7.509 -0.153
0.000 2.638 7.034
Ac Pm Nd As
1 1 2 4
Direct
0.500 0.500 0.000
0.000 0.500 0.500
0.000 0.000 0.000
0.500 0.000 0.500
0.000 0.759 0.740
0.000 0.241 0.260
0.500 0.753 0.256
0.500 0.247 0.744

=====

Pr2PaNbN4 PBE-GGA optimized geometry; space group = P2/m; crystal system = monoclinic; VASP energy = -73.101 eV for the cell shown; N(E_F) = 3.01 states/eV/f.u.; M_tot = 0.00 μB per cell
1.0
-2.664 1.654 -1.467
-3.729 -2.666 3.767
1.871 5.256 2.527
Pr Pa Nb N
2 1 1 4
Direct
0.500 0.000 0.500
0.000 0.500 0.500
0.500 0.500 0.000
0.000 0.000 0.000
0.500 0.228 0.202
0.500 0.772 0.798
0.000 0.254 0.795
0.000 0.746 0.205

=====

Dy4Y2Tl PBE-GGA optimized geometry; space group = P2_1/m; crystal system = monoclinic; ΔE_f = 0.00 eV/atom; N(E_F) = 10.72 states/eV/f.u.; M_tot = 0.00 μB per cell
1.0
-2.191 3.081 -4.215
4.620 -2.491 -4.222
-5.825 -10.308 -0.291
Dy Y Tl
8 4 2
Direct
0.627 0.490 0.294
0.975 0.750 0.853
0.025 0.250 0.147
0.627 0.010 0.294
0.808 0.250 0.595
0.373 0.990 0.706
0.373 0.510 0.706
0.192 0.750 0.405
0.583 0.750 0.021
0.417 0.250 0.979
0.219 0.250 0.442
0.781 0.750 0.558
0.143 0.750 0.135
0.857 0.250 0.865

=====

Ho6Fe2Ir PBE-GGA optimized geometry; space group = Immm; crystal system = orthorhombic; ΔE_f = -0.23 eV/atom; N(E_F) = 9.09 states/eV/f.u.; M_tot = 3.98 μB per cell
1.0
7.645 0.281 -2.829
-3.863 6.728 -2.516
-0.123 -0.281 8.150
Ho Fe Ir
12 4 2
Direct
0.566 0.744 0.822
0.434 0.256 0.178
0.078 0.256 0.822
0.922 0.744 0.178
0.809 0.741 0.550
0.191 0.259 0.450
0.191 0.741 0.932
0.809 0.259 0.068
0.700 0.380 0.680
0.300 0.620 0.320
0.300 0.980 0.680
0.700 0.020 0.320
0.500 0.390 0.890
0.500 0.610 0.110
0.624 0.000 0.624
0.376 0.000 0.376
0.000 0.500 0.500
0.000 0.000 0.000

=====

Li2AlW PBE-GGA optimized geometry; space group = P4/mmm; crystal system = tetragonal; ΔE_f = 0.32 eV/atom; N(E_F) = 2.13 states/eV/f.u.; M_tot = 0.00 μB per cell
1.0
4.374 0.000 0.000
0.000 3.695 0.000
0.000 0.000 3.695
Al Li W
1 2 1
Direct
0.500 0.000 0.500
0.000 0.000 0.000
0.000 0.500 0.500
0.500 0.500 0.000

=====

Pa4SnPbN8 PBE-GGA optimized geometry; space group = R3m; crystal system = trigonal; VASP energy = -125.877 eV for the cell shown; N(E_F) = 0.99 states/eV/f.u.; M_tot = 0.00 μB per cell
1.0
7.242 0.000 0.000
3.621 6.272 0.000
3.621 2.091 5.400
Pa Sn Pb N
4 1 1 8
Direct
0.619 0.619 0.144
0.007 0.499 0.487
0.499 0.007 0.487
0.007 0.007 0.487
0.009 0.009 0.974
0.401 0.401 0.797
0.230 0.825 0.716
0.825 0.230 0.716
0.230 0.230 0.716
0.235 0.235 0.296
0.706 0.258 0.330
0.258 0.706 0.330
0.706 0.706 0.330
0.770 0.770 0.691

=====

Sr3Er3ScSe8 PBE-GGA optimized geometry; space group = R-3m; crystal system = trigonal; VASP energy = -81.246 eV for the cell shown; N(E_F) = 3.99 states/eV/f.u.; M_tot = 0.00 μB per cell
1.0
8.215 0.000 0.000
-4.107 7.113 -0.027
0.000 -4.718 7.136
Sr Er Sc Se
3 3 1 8
Direct
0.000 0.000 0.000
0.000 0.500 0.000
0.500 0.500 0.000
0.500 0.000 0.500
0.500 0.500 0.500
0.000 0.500 0.500
0.000 0.000 0.500
0.257 0.515 0.272
0.743 0.485 0.728
0.763 0.526 0.280
0.237 0.474 0.720
0.763 0.017 0.280
0.237 0.983 0.720
0.254 0.017 0.280
0.746 0.983 0.720

=====

Hf2BeAu PBE-GGA optimized geometry; space group = I-42d; crystal system = tetragonal; ΔE_f = 0.47 eV/atom; N(E_F) = 3.83 states/eV/f.u.; M_tot = 0.00 μB per cell
1.0
-1.419 -3.481 1.762
-0.897 -1.534 -3.752
7.339 -6.230 -1.504
Hf Au Be
4 2 2
Direct
0.614 0.125 0.250
0.136 0.625 0.250
0.375 0.386 0.750
0.875 0.864 0.750
0.000 0.000 0.000
0.750 0.250 0.500
0.500 0.500 0.000
0.250 0.750 0.500

=====

Sm2PaNi9 PBE-GGA optimized geometry; space group = R-3m; crystal system = trigonal; ΔE_f = -0.37 eV/atom; N(E_F) = 11.57 states/eV/f.u.; M_tot = 0.00 μB per cell
1.0
-2.582 3.446 2.439
-4.783 -0.755 1.024
-0.361 -2.622 8.344
Sm Pa Ni
2 1 9
Direct
0.861 0.861 0.416
0.139 0.139 0.584
0.000 0.000 0.000
0.667 0.667 0.000
0.333 0.333 0.000
0.500 0.500 0.500
0.419 0.419 0.242
0.919 0.419 0.242
0.419 0.919 0.242
0.581 0.581 0.758
0.581 0.081 0.758
0.081 0.581 0.758

=====

Pm3Ho2Se8 PBE-GGA optimized geometry; space group = C2/m; crystal system = monoclinic; VASP energy = -73.048 eV for the cell shown; N(E_F) = 7.60 states/eV/f.u.; M_tot = 0.00 μB per cell
1.0
7.105 0.000 0.193
0.000 8.352 0.000
-2.653 -4.176 6.726
Pm Ho Se
3 2 8
Direct
0.500 0.000 0.000
0.000 0.263 0.000
0.000 0.737 0.000
0.340 0.258 0.515
0.660 0.742 0.485
0.893 0.619 0.238
0.107 0.381 0.762
0.931 0.122 0.244
0.069 0.878 0.756
0.582 0.634 0.745
0.582 0.111 0.745
0.418 0.889 0.255
0.418 0.366 0.255

=====

Ba6Tl2NCl PBE-GGA optimized geometry; space group = P2_1/c; crystal system = monoclinic; N(E_F) = 11.70 states/eV/f.u.; M_tot = 0.00 μB per cell; distance to the lowest polymorph of the same formula = 0.0 meV/atom
1.0
8.122 0.000 -0.034
0.000 8.406 0.000
0.022 0.000 11.663
Ba Tl N Cl
12 4 2 2
Direct
0.273 0.691 0.044
0.773 0.809 0.544
0.727 0.309 0.956
0.227 0.191 0.456
0.313 0.729 0.457
0.813 0.771 0.957
0.687 0.271 0.543
0.187 0.229 0.043
0.915 0.518 0.230
0.415 0.982 0.730
0.085 0.482 0.770
0.585 0.018 0.270
0.019 0.947 0.247
0.519 0.553 0.747
0.981 0.053 0.753
0.481 0.447 0.253
0.500 0.000 0.500
0.000 0.500 0.000
0.500 0.000 0.000
0.000 0.500 0.500

=====

CsCoCl2 PBE-GGA optimized geometry; space group = I-4m2; crystal system = tetragonal; N(E_F) = 2.57 states/eV/f.u.; M_tot = 4.00 μB per cell; distance to the lowest polymorph of the same formula = 121.6 meV/atom
1.0
4.181 0.000 0.000
0.000 4.181 0.000
0.000 0.000 12.443
Cs Co Cl
2 2 4
Direct
0.000 0.500 0.750
0.500 0.000 0.250
0.000 0.000 0.000
0.500 0.500 0.500
0.000 0.500 0.085
0.500 0.000 0.915
0.500 0.000 0.585
0.000 0.500 0.415

=====

SmYEr PBE-GGA optimized geometry; space group = P6_3mc; crystal system = hexagonal; ΔE_f = 0.01 eV/atom; N(E_F) = 4.42 states/eV/f.u.; M_tot = 0.00 μB per cell; distance to the lowest polymorph of the same formula = 0.0 meV/atom
1.0
-3.096 1.505 -1.009
1.065 -3.085 -1.490
-8.324 -8.840 12.351
Sm Er Y
2 2 2
Direct
0.667 0.333 0.281
0.333 0.667 0.781
0.000 0.000 0.616
0.000 0.000 0.116
0.667 0.333 0.952
0.333 0.667 0.452

=====

Pr2MgAg4 PBE-GGA optimized geometry; space group = R-3m; crystal system = trigonal; ΔE_f = -0.11 eV/atom; N(E_F) = 3.87 states/eV/f.u.; M_tot = 0.00 μB per cell
1.0
-3.977 0.341 -2.464
-2.460 -3.860 -1.029
-7.127 -0.179 7.011
Pr Mg Ag
2 1 4
Direct
0.751 0.751 0.748
0.249 0.249 0.252
0.000 0.000 0.000
0.859 0.859 0.424
0.141 0.141 0.576
0.642 0.642 0.073
0.358 0.358 0.927

=====

InHPd3 PBE-GGA optimized geometry; space group = C2/m; crystal system = monoclinic; N(E_F) = 2.14 states/eV/f.u.; M_tot = 0.00 μB per cell; distance to the lowest polymorph of the same formula = 109.4 meV/atom
1.0
-10.473 13.496 7.564
-6.176 6.232 1.124
2.959 -7.946 -2.520
H Pd In
2 6 2
Direct
0.892 0.927 0.073
0.108 0.073 0.927
0.808 0.134 0.866
0.192 0.866 0.134
0.938 0.373 0.627
0.062 0.627 0.373
0.564 0.622 0.378
0.436 0.378 0.622
0.680 0.892 0.108
0.320 0.108 0.892

=====

Fe2PC PBE-GGA optimized geometry; space group = Fm-3m; crystal system = cubic; ΔE_f = 0.55 eV/atom; N(E_F) = 2.81 states/eV/f.u.; M_tot = 0.00 μB per cell
1.0
0.000 2.644 2.644
2.644 0.000 2.644
2.644 2.644 0.000
P C Fe
1 1 2
Direct
0.500 0.500 0.500
0.000 0.000 0.000
0.250 0.250 0.250
0.750 0.750 0.750

=====

Dy2MgZn2Pt5 PBE-GGA optimized geometry; space group = P4/mbm; crystal system = tetragonal; ΔE_f = -0.88 eV/atom; N(E_F) = 3.15 states/eV/f.u.; M_tot = 0.00 μB per cell
1.0
-3.052 1.504 1.750
3.121 -3.457 8.417
4.890 8.141 1.530
Dy Mg Zn Pt
4 2 4 10
Direct
0.000 0.676 0.176
0.000 0.324 0.824
0.000 0.176 0.324
0.000 0.824 0.676
0.000 0.000 0.000
0.000 0.500 0.500
0.000 0.122 0.622
0.000 0.878 0.378
0.000 0.622 0.878
0.000 0.378 0.122
0.500 0.204 0.068
0.500 0.796 0.932
0.500 0.068 0.796
0.500 0.704 0.432
0.500 0.932 0.204
0.500 0.296 0.568
0.500 0.568 0.704
0.500 0.432 0.296
0.500 0.500 0.000
0.500 0.000 0.500

=====

Sr2Tl3Pd4Pb PBE-GGA optimized geometry; space group = P-4m2; crystal system = tetragonal; ΔE_f = -0.41 eV/atom; N(E_F) = 2.54 states/eV/f.u.; M_tot = 0.00 μB per cell
1.0
-4.856 0.145 -0.095
-0.150 -4.849 0.280
-0.193 0.629 10.796
Sr Tl Pd Pb
2 3 4 1
Direct
0.500 0.000 0.232
0.000 0.500 0.768
0.000 0.000 0.500
0.500 0.000 0.879
0.000 0.500 0.121
0.500 0.500 0.000
0.000 0.000 0.000
0.500 0.000 0.630
0.000 0.500 0.370
0.500 0.500 0.500

=====

YSe2 PBE-GGA optimized geometry; space group = C2/m; crystal system = monoclinic; VASP energy = -35.807 eV for the cell shown; N(E_F) = 0.19 states/eV/f.u.; M_tot = 0.00 μB per cell
1.0
5.390 -0.004 0.004
3.973 3.643 0.004
3.970 1.543 7.477
Se Y
4 2
Direct
0.055 0.055 0.918
0.341 0.341 0.333
0.603 0.603 0.279
0.889 0.889 0.693
0.644 0.644 0.607
0.300 0.300 0.004